# 1
Here is crystalline La2Cu at its relaxed geometry from Alexandria. Energies are from PBE.

Cell: 6.738 6.738 6.984 Å, 90.00 90.00 34.09°
Atoms (fractional coordinates):
La  0.666  0.666  0.707
La  0.930  0.930  0.525
Cu  0.254  0.254  0.435
Cu  0.024  0.024  0.935
La  0.348  0.348  0.025
La  0.612  0.612  0.207

Values from the calculation:
- Spin magnetization: 0.00 μB per formula unit
- E_tot: -4.74 eV/atom



# 2
Here is crystalline Tb5HoMg4 at its relaxed geometry from Alexandria. Energies are from PBE.

Cell: 3.739 3.739 20.228 Å, 90.00 90.00 90.00°
Atoms (fractional coordinates):
Tb  0.500  0.500  0.690
Tb  0.500  0.500  0.500
Mg  0.000  0.000  0.786
Tb  0.500  0.500  0.883
Ho  0.000  0.000  0.000
Mg  0.000  0.000  0.214
Tb  0.500  0.500  0.117
Mg  0.000  0.000  0.596
Tb  0.500  0.500  0.310
Mg  0.000  0.000  0.404

Values from the calculation:
- Spin magnetization: 0.00 μB per formula unit
- E_tot: -3.47 eV/atom



Question: E_tot of number 2 (Tb5HoMg4)?
Answer: -3.47 eV/atom